Entry 1:
# PBE LuPuCrFe, relaxed
# formation energy	0.17	eV/atom
data_LuPuCrFe
_cell_length_a 6.672
_cell_length_b 6.672
_cell_length_c 6.672
_cell_angle_alpha 90.00
_cell_angle_beta 90.00
_cell_angle_gamma 90.00
_space_group_name_H-M_alt 'F -4 3 m'
_space_group_IT_number 216
_space_group_name_Hall 'F -4 2 3'
loop_
_atom_site_label
_atom_site_type_symbol
_atom_site_fract_x
_atom_site_fract_y
_atom_site_fract_z
Lu1 Lu 0.000 0.000 0.000
Pu1 Pu 0.000 0.000 0.500
Cr1 Cr 0.250 0.250 0.250
Fe1 Fe 0.250 0.250 0.750


Entry 2:
# PBE Al2SbPb, relaxed
# E above lowest polymorph	209	meV per atom
data_Al2SbPb
_cell_length_a 7.351
_cell_length_b 7.351
_cell_length_c 7.351
_cell_angle_alpha 90.00
_cell_angle_beta 90.00
_cell_angle_gamma 90.00
_space_group_name_H-M_alt 'F -4 3 m'
_space_group_IT_number 216
_space_group_name_Hall 'F -4 2 3'
loop_
_atom_site_label
_atom_site_type_symbol
_atom_site_fract_x
_atom_site_fract_y
_atom_site_fract_z
Al1 Al 0.000 0.000 0.000
Al2 Al 0.250 0.250 0.250
Sb1 Sb 0.000 0.000 0.500
Pb1 Pb 0.250 0.250 0.750